[1]
## ZrCuNi2 (PBE-GGA)

Data for a geometry-optimized ZrCuNi2 structure.

## Properties
energy of formation from the pure elements: 0.225 eV/atom

Lattice parameters (Å, degrees): 8.791 8.791 8.791 18.04 18.04 18.04
Sites, in units of the cell vectors:
Zr (0.000, 0.000, 0.000)
Cu (0.239, 0.239, 0.239)
Ni (0.496, 0.496, 0.496)
Ni (0.756, 0.756, 0.756)

=====

[2]
## RbBiSbI2 (PBE-GGA)

Data for a geometry-optimized RbBiSbI2 structure.

## Properties
formation energy (no corrections): -0.31 eV/atom
energy relative to the lowest polymorph listed for this composition: 0 meV/atom

Lattice parameters (Å, degrees): 6.453 6.453 5.882 90.00 90.00 90.00
Sites, in units of the cell vectors:
Rb (0.000, 0.000, 0.000)
Bi (0.500, 0.500, 0.500)
Sb (0.500, 0.500, 0.000)
I (0.000, 0.500, 0.500)
I (0.500, 0.000, 0.500)

=====

[3]
## CuRh2W (PBE-GGA)

Data for a geometry-optimized CuRh2W structure.

## Properties
energy of formation from the pure elements: 0.424 eV/atom
energy relative to the lowest polymorph listed for this composition: 572 meV/atom

Lattice parameters (Å, degrees): 5.546 5.546 5.546 103.99 103.99 121.10
Sites, in units of the cell vectors:
Cu (0.000, 0.000, 0.000)
Cu (0.750, 0.250, 0.500)
Rh (0.142, 0.625, 0.017)
Rh (0.375, 0.392, 0.517)
Rh (0.608, 0.125, 0.983)
Rh (0.875, 0.858, 0.483)
W (0.250, 0.750, 0.500)
W (0.500, 0.500, 0.000)

=====

[4]
## Ac6In3Au (PBE-GGA)

Data for a geometry-optimized Ac6In3Au structure.

## Properties
energy of formation from the pure elements: -0.351 eV/atom

Lattice parameters (Å, degrees): 9.928 12.926 5.730 90.00 90.00 90.00
Sites, in units of the cell vectors:
Ac (0.003, 0.243, 0.000)
Ac (0.161, 0.084, 0.500)
Ac (0.174, 0.420, 0.500)
Ac (0.326, 0.920, 0.000)
Ac (0.339, 0.584, 0.000)
Ac (0.497, 0.743, 0.500)
Ac (0.503, 0.257, 0.500)
Ac (0.661, 0.416, 0.000)
Ac (0.674, 0.080, 0.000)
Ac (0.826, 0.580, 0.500)
Ac (0.839, 0.916, 0.500)
Ac (0.997, 0.757, 0.000)
In (0.000, 0.500, 0.000)
In (0.164, 0.728, 0.500)
In (0.336, 0.228, 0.000)
In (0.500, 0.000, 0.500)
In (0.664, 0.772, 0.000)
In (0.836, 0.272, 0.500)
Au (0.000, 0.000, 0.000)
Au (0.500, 0.500, 0.500)

=====

Summary of total magnetization in μB per formula unit
0.6 0.8 0.0 0.0
(order as listed above)
Summary of raw total energy in eV per atom
-5.827 -2.727 -7.514 -3.966
(order as listed above)